# PBE-GGA RbV2HgCl, optimized geometry
data_RbV2HgCl
_cell_length_a 5.208
_cell_length_b 5.208
_cell_length_c 6.831
_cell_angle_alpha 90.00
_cell_angle_beta 90.00
_cell_angle_gamma 90.00
_space_group_name_H-M_alt 'P 4/m m m'
_space_group_IT_number 123
_space_group_name_Hall '-P 4 2'
loop_
_atom_site_label
_atom_site_type_symbol
_atom_site_fract_x
_atom_site_fract_y
_atom_site_fract_z
Rb1 Rb 0.000 0.000 0.000
V1 V 0.000 0.500 0.500
Hg1 Hg 0.500 0.500 0.500
Cl1 Cl 0.500 0.500 0.000
# E = -3.505 eV per atom
# raw formation energy = 0.77 eV per atom
# D(E_F) = 1.664 states/eV per atom